# 1
Y2ZnIr: PBEsol geometry, meta-GGA SCAN.

a b c (Å): 3.4460 3.4460 6.9434
angles (deg): 90.00 90.00 90.00
Space group P4/mmm (No. 123)
Asymmetric unit:
Y: 0.0000 0.0000 0.2363 (multiplicity 2)
Zn: 0.5000 0.5000 0.5000 (multiplicity 1)
Ir: 0.5000 0.5000 0.0000 (multiplicity 1)

Results
DFT formation energy ... -0.753 eV/atom


# 2
CaCuAsHO5: PBEsol geometry, meta-GGA SCAN.

a b c (Å): 5.8023 7.3032 9.3238
angles (deg): 90.00 90.00 90.00
Space group P2_12_12_1 (No. 19)
Asymmetric unit:
Ca: 0.0216 0.1316 0.1802 (multiplicity 4)
Cu: 0.2490 0.7455 0.9981 (multiplicity 4)
As: 0.0152 0.6202 0.6638 (multiplicity 4)
H: 0.0169 0.9859 0.4853 (multiplicity 4)
O: 0.0033 0.1075 0.4331 (multiplicity 4)
O: 0.0041 0.9378 0.9588 (multiplicity 4)
O: 0.0916 0.7960 0.5517 (multiplicity 4)
O: 0.2393 0.1408 0.7466 (multiplicity 4)
O: 0.2466 0.6024 0.7764 (multiplicity 4)

Results
Raw total energy ... -10.630 eV per atom


# 3
TlSi2AgTe: PBEsol geometry, meta-GGA SCAN.

a b c (Å): 5.1376 5.1376 6.0733
angles (deg): 90.00 90.00 90.00
Space group P4/mmm (No. 123)
Asymmetric unit:
Tl: 0.0000 0.0000 0.0000 (multiplicity 1)
Si: 0.0000 0.5000 0.5000 (multiplicity 2)
Ag: 0.5000 0.5000 0.0000 (multiplicity 1)
Te: 0.0000 0.0000 0.5000 (multiplicity 1)

Results
Raw total energy ... -30.890 eV per atom


# 4
ZrScCu2: PBEsol geometry, meta-GGA SCAN.

a b c (Å): 6.4331 6.4331 6.4331
angles (deg): 90.00 90.00 90.00
Space group Fm-3m (No. 225)
Asymmetric unit:
Zr: 0.0000 0.0000 0.0000 (multiplicity 4)
Sc: 0.0000 0.0000 0.5000 (multiplicity 4)
Cu: 0.2500 0.2500 0.2500 (multiplicity 8)

Results
E above lowest polymorph ... 0.019 eV/atom
DFT formation energy ... -0.245 eV/atom


# 5
NaNbIr2Os: PBEsol geometry, meta-GGA SCAN.

a b c (Å): 4.7864 4.7864 4.7553
angles (deg): 90.00 90.00 90.00
Space group P4/mmm (No. 123)
Asymmetric unit:
Na: 0.0000 0.0000 0.0000 (multiplicity 1)
Nb: 0.5000 0.5000 0.0000 (multiplicity 1)
Ir: 0.0000 0.5000 0.5000 (multiplicity 2)
Os: 0.5000 0.5000 0.5000 (multiplicity 1)

Results
DFT formation energy ... 1.167 eV/atom


# 6
Li2Zr2O5: PBEsol geometry, meta-GGA SCAN.

a b c (Å): 9.1010 6.4808 7.5347
angles (deg): 90.00 113.88 90.00
Space group C2/c (No. 15)
Asymmetric unit:
Li: 0.0153 0.1984 0.4581 (multiplicity 8)
Zr: 0.2484 0.4698 0.1222 (multiplicity 8)
O: 0.0000 0.0254 0.7500 (multiplicity 4)
O: 0.0000 0.5000 0.0000 (multiplicity 4)
O: 0.2195 0.1455 0.1283 (multiplicity 8)
O: 0.2500 0.2500 0.5000 (multiplicity 4)

Results
E above lowest polymorph ... 0.003 eV/atom


# 7
TiGe2B2: PBEsol geometry, meta-GGA SCAN.

a b c (Å): 2.7505 2.7505 16.0107
angles (deg): 90.00 90.00 90.00
Space group I4/mmm (No. 139)
Asymmetric unit:
Ti: 0.0000 0.0000 0.0000 (multiplicity 2)
Ge: 0.0000 0.0000 0.3779 (multiplicity 4)
B: 0.0000 0.5000 0.2500 (multiplicity 4)

Results
DFT formation energy ... 0.568 eV/atom


# 8
LiPr2Os: PBEsol geometry, meta-GGA SCAN.

a b c (Å): 7.1060 7.1060 7.1060
angles (deg): 90.00 90.00 90.00
Space group Fm-3m (No. 225)
Asymmetric unit:
Li: 0.0000 0.0000 0.0000 (multiplicity 4)
Pr: 0.2500 0.2500 0.2500 (multiplicity 8)
Os: 0.0000 0.0000 0.5000 (multiplicity 4)

Results
DFT formation energy ... -0.125 eV/atom


# 9
RuRh: PBEsol geometry, meta-GGA SCAN.

a b c (Å): 2.6615 2.6615 7.5538
angles (deg): 90.00 90.00 90.00
Space group P4/nmm (No. 129, origin choice 2)
Asymmetric unit:
Ru: 0.2500 0.2500 0.1231 (multiplicity 2)
Rh: 0.2500 0.2500 0.6285 (multiplicity 2)

Results
DFT formation energy ... 0.036 eV/atom


# 10
Mg2CrPb: PBEsol geometry, meta-GGA SCAN.

a b c (Å): 4.2840 4.2840 4.4099
angles (deg): 90.00 90.00 90.00
Space group P4/mmm (No. 123)
Asymmetric unit:
Mg: 0.0000 0.5000 0.0000 (multiplicity 2)
Cr: 0.0000 0.0000 0.5000 (multiplicity 1)
Pb: 0.5000 0.5000 0.5000 (multiplicity 1)

Results
DFT formation energy ... -0.039 eV/atom


# 11
LiAgBr2: PBEsol geometry, meta-GGA SCAN.

a b c (Å): 3.6135 3.6938 13.1258
angles (deg): 90.00 90.00 90.00
Space group Imm2 (No. 44)
Asymmetric unit:
Li: 0.0000 0.0000 0.0000 (multiplicity 2)
Ag: 0.0000 0.5000 0.2552 (multiplicity 2)
Br: 0.0000 0.0000 0.4208 (multiplicity 2)
Br: 0.0000 0.5000 0.6623 (multiplicity 2)

Results
E above lowest polymorph ... 0.093 eV/atom


# 12
MnZnAg2: PBEsol geometry, meta-GGA SCAN.

a b c (Å): 4.7459 2.8291 4.7933
angles (deg): 90.00 107.95 90.00
Space group P2/m (No. 10)
Asymmetric unit:
Mn: 0.0000 0.0000 0.0000 (multiplicity 1)
Zn: 0.0000 0.5000 0.5000 (multiplicity 1)
Ag: 0.5000 0.0000 0.5000 (multiplicity 1)
Ag: 0.5000 0.5000 0.0000 (multiplicity 1)

Results
DFT formation energy ... 0.005 eV/atom


# 13
BaCrBAu2: PBEsol geometry, meta-GGA SCAN.

a b c (Å): 5.7245 5.7245 5.0464
angles (deg): 90.00 90.00 90.00
Space group P4/mmm (No. 123)
Asymmetric unit:
Ba: 0.0000 0.0000 0.0000 (multiplicity 1)
Cr: 0.5000 0.5000 0.5000 (multiplicity 1)
B: 0.0000 0.0000 0.5000 (multiplicity 1)
Au: 0.0000 0.5000 0.0000 (multiplicity 2)

Results
DFT formation energy ... 1.663 eV/atom


# 14
ZrFe3Sb: PBEsol geometry, meta-GGA SCAN.

a b c (Å): 4.5295 4.5295 4.5295
angles (deg): 90.00 90.00 90.00
Space group Pm-3m (No. 221)
Asymmetric unit:
Zr: 0.0000 0.0000 0.0000 (multiplicity 1)
Fe: 0.0000 0.0000 0.5000 (multiplicity 3)
Sb: 0.5000 0.5000 0.5000 (multiplicity 1)

Results
Raw total energy ... -23.027 eV per atom


# 15
BaZrHg2: PBEsol geometry, meta-GGA SCAN.

a b c (Å): 4.4922 4.4922 10.3640
angles (deg): 90.00 90.00 90.00
Space group I-4m2 (No. 119)
Asymmetric unit:
Ba: 0.0000 0.0000 0.0000 (multiplicity 2)
Zr: 0.0000 0.5000 0.7500 (multiplicity 2)
Hg: 0.0000 0.0000 0.5000 (multiplicity 2)
Hg: 0.0000 0.5000 0.2500 (multiplicity 2)

Results
DFT formation energy ... 0.049 eV/atom


# 16
Zr2CrP: PBEsol geometry, meta-GGA SCAN.

a b c (Å): 9.6775 3.1753 4.4825
angles (deg): 90.00 105.33 90.00
Space group Cm (No. 8)
Asymmetric unit:
Zr: 0.0000 0.0000 0.0000 (multiplicity 2)
Zr: 0.2249 0.0000 0.6765 (multiplicity 2)
Cr: 0.4237 0.0000 0.4195 (multiplicity 2)
P: 0.2548 0.5000 0.1825 (multiplicity 2)

Results
DFT formation energy ... -0.349 eV/atom


# 17
As2HRuW: PBEsol geometry, meta-GGA SCAN.

a b c (Å): 4.3389 4.3389 3.2706
angles (deg): 90.00 90.00 90.00
Space group P4/mmm (No. 123)
Asymmetric unit:
As: 0.0000 0.5000 0.0000 (multiplicity 2)
H: 0.0000 0.0000 0.0000 (multiplicity 1)
Ru: 0.0000 0.0000 0.5000 (multiplicity 1)
W: 0.5000 0.5000 0.5000 (multiplicity 1)

Results
Raw total energy ... -29.323 eV per atom


# 18
ZrHgPb2: PBEsol geometry, meta-GGA SCAN.

a b c (Å): 3.2213 3.2213 9.5779
angles (deg): 90.00 90.00 90.00
Space group P4mm (No. 99)
Asymmetric unit:
Zr: 0.0000 0.0000 0.0000 (multiplicity 1)
Hg: 0.5000 0.5000 0.2070 (multiplicity 1)
Pb: 0.0000 0.0000 0.4535 (multiplicity 1)
Pb: 0.5000 0.5000 0.7600 (multiplicity 1)

Results
DFT formation energy ... -0.118 eV/atom


# 19
Mn2SiPOs: PBEsol geometry, meta-GGA SCAN.

a b c (Å): 4.0707 4.0707 4.3525
angles (deg): 90.00 90.00 90.00
Space group P4/mmm (No. 123)
Asymmetric unit:
Mn: 0.0000 0.5000 0.0000 (multiplicity 2)
Si: 0.0000 0.0000 0.5000 (multiplicity 1)
P: 0.0000 0.0000 0.0000 (multiplicity 1)
Os: 0.5000 0.5000 0.5000 (multiplicity 1)

Results
Raw total energy ... -24.925 eV per atom


# 20
AlAgP2: PBEsol geometry, meta-GGA SCAN.

a b c (Å): 7.2983 6.9676 2.6921
angles (deg): 90.00 105.71 90.00
Space group C2/m (No. 12)
Asymmetric unit:
Al: 0.0000 0.0000 0.0000 (multiplicity 2)
Ag: 0.0000 0.5000 0.0000 (multiplicity 2)
P: 0.2500 0.2500 0.0000 (multiplicity 4)

Results
DFT formation energy ... 0.217 eV/atom


Number 1: Fermi-level density of states 1.9 states/eV per cell, calculated volume 82 Å³/cell, ρ 8.77 g/cm3. Number 2: Fermi-level density of states 0.0 states/eV per cell, calculated volume 395 Å³/cell, ρ 4.36 g/cm3. Number 3: Fermi-level density of states 3.4 states/eV per cell, calculated volume 160 Å³/cell, ρ 5.14 g/cm3. Number 4: Fermi-level density of states 12.8 states/eV per cell, calculated volume 266 Å³/cell, ρ 6.57 g/cm3. Number 5: Fermi-level density of states 3.3 states/eV per cell, calculated volume 109 Å³/cell, ρ 10.53 g/cm3. Number 6: Fermi-level density of states 0.0 states/eV per cell, calculated volume 406 Å³/cell, ρ 4.52 g/cm3. Number 7: Fermi-level density of states 4.5 states/eV per cell, calculated volume 121 Å³/cell, ρ 5.89 g/cm3. Number 8: Fermi-level density of states 8.2 states/eV per cell, calculated volume 359 Å³/cell, ρ 8.87 g/cm3. Number 9: Fermi-level density of states 3.9 states/eV per cell, calculated volume 54 Å³/cell, ρ 12.66 g/cm3. Number 10: Fermi-level density of states 1.6 states/eV per cell, calculated volume 81 Å³/cell, ρ 6.32 g/cm3. Number 11: Fermi-level density of states 0.0 states/eV per cell, calculated volume 175 Å³/cell, ρ 5.21 g/cm3. Number 12: Fermi-level density of states 1.5 states/eV per cell, calculated volume 61 Å³/cell, ρ 9.12 g/cm3. Number 13: Fermi-level density of states 3.0 states/eV per cell, calculated volume 165 Å³/cell, ρ 5.97 g/cm3. Number 14: Fermi-level density of states 3.2 states/eV per cell, calculated volume 93 Å³/cell, ρ 6.80 g/cm3. Number 15: Fermi-level density of states 4.9 states/eV per cell, calculated volume 209 Å³/cell, ρ 10.00 g/cm3. Number 16: Fermi-level density of states 7.8 states/eV per cell, calculated volume 133 Å³/cell, ρ 6.64 g/cm3. Number 17: Fermi-level density of states 2.6 states/eV per cell, calculated volume 62 Å³/cell, ρ 11.75 g/cm3. Number 18: Fermi-level density of states 2.0 states/eV per cell, calculated volume 99 Å³/cell, ρ 11.80 g/cm3. Number 19: Fermi-level density of states 3.2 states/eV per cell, calculated volume 72 Å³/cell, ρ 8.27 g/cm3. Number 20: Fermi-level density of states 2.7 states/eV per cell, calculated volume 132 Å³/cell, ρ 4.96 g/cm3.